Cs2PdS2 | PBE-GGA | optimized geometry

Calculated total energy, eV/f.u.: -17.27

The structure in extended XYZ format:
```
10
Lattice="7.001 0.000 0.000 0.000 7.001 0.000 0.000 0.000 5.672" Properties=species:S:1:pos:R:3 pbc="T T T"
Cs 1.189 2.311 0.000
Cs 2.311 5.811 0.000
Cs 4.690 1.189 0.000
Cs 5.811 4.690 0.000
Pd 0.000 0.000 2.836
Pd 3.500 3.500 2.836
S 1.175 4.675 2.836
S 2.326 1.175 2.836
S 4.675 5.826 2.836
S 5.826 2.326 2.836
```

=====

CsPd3S2 | PBE-GGA | optimized geometry

Calculated total energy, eV/f.u.: -27.36

The structure in extended XYZ format:
```
12
Lattice="7.544 -1.981 0.000 7.544 1.981 0.000 -3.243 0.000 8.699" Properties=species:S:1:pos:R:3 pbc="T T T"
Cs 1.942 0.000 0.371
Cs 9.903 0.000 8.328
Pd -0.515 0.000 3.402
Pd 2.797 0.000 5.092
Pd 4.882 0.000 3.198
Pd 6.963 0.000 5.501
Pd 9.048 0.000 3.607
Pd 12.360 0.000 5.297
S 0.662 0.000 6.009
S 4.709 0.000 6.572
S 7.136 0.000 2.126
S 11.183 0.000 2.690
```

=====

CsPdS3 | PBE-GGA | optimized geometry

Calculated total energy, eV/f.u.: -10.30

The structure in extended XYZ format:
```
5
Lattice="5.593 0.000 0.000 0.000 5.593 0.000 0.000 0.000 5.593" Properties=species:S:1:pos:R:3 pbc="T T T"
Cs 0.000 0.000 0.000
Pd 2.796 2.796 2.796
S 0.000 0.000 2.796
S 0.000 2.796 0.000
S 2.796 0.000 0.000
```

=====

Cs2SbPdS4 | PBE-GGA | optimized geometry

Calculated total energy, eV/f.u.: -31.86

The structure in extended XYZ format:
```
16
Lattice="0.000 7.339 11.581 3.351 0.000 11.581 3.351 7.339 0.000" Properties=species:S:1:pos:R:3 pbc="T T T"
Cs 2.513 5.504 1.098
Cs 4.189 9.173 6.889
Cs 2.513 5.504 16.273
Cs 4.189 9.173 22.064
Sb 2.513 5.504 8.686
Sb 4.189 9.173 14.476
Pd 0.838 1.835 2.895
Pd 5.864 12.843 20.267
S 2.589 3.277 3.926
S 4.113 6.946 9.716
S 2.437 7.731 3.926
S 2.437 3.277 13.446
S 4.265 11.401 9.716
S 4.265 6.946 19.236
S 2.589 7.731 13.446
S 4.113 11.401 19.236
```

=====

CsSbPd2S | PBE-GGA | optimized geometry

Calculated total energy, eV/f.u.: -19.77

The structure in extended XYZ format:
```
5
Lattice="5.134 0.000 0.000 0.000 5.134 0.000 0.000 0.000 5.421" Properties=species:S:1:pos:R:3 pbc="T T T"
Cs 0.000 0.000 0.000
Sb 2.567 2.567 2.711
Pd 0.000 2.567 2.711
Pd 2.567 0.000 2.711
S 2.567 2.567 0.000
```

=====

Cs2PdSe6S2 | PBE-GGA | optimized geometry

Calculated total energy, eV/f.u.: -39.86

The structure in extended XYZ format:
```
11
Lattice="6.773 -3.509 0.000 6.773 3.509 0.000 -2.353 0.000 7.971" Properties=species:S:1:pos:R:3 pbc="T T T"
Cs 1.844 0.000 1.568
Cs 9.350 0.000 6.403
Pd -1.176 0.000 3.986
Se 5.065 1.988 2.127
Se 6.129 1.988 5.844
Se 3.005 0.000 5.200
Se 8.189 0.000 2.771
Se 5.065 -1.988 2.127
Se 6.129 -1.988 5.844
S 4.923 0.000 6.164
S 6.270 0.000 1.807
```

=====

CsSr2PdS | PBE-GGA | optimized geometry

Calculated total energy, eV/f.u.: -16.21

The structure in extended XYZ format:
```
5
Lattice="5.672 0.000 0.000 0.000 5.672 0.000 0.000 0.000 6.478" Properties=species:S:1:pos:R:3 pbc="T T T"
Cs 0.000 0.000 0.000
Sr 0.000 2.836 3.239
Sr 2.836 0.000 3.239
Pd 2.836 2.836 0.000
S 0.000 0.000 3.239
```

=====

Cs4Th3PdS8 | PBE-GGA | optimized geometry

Calculated total energy, eV/f.u.: -87.36

The structure in extended XYZ format:
```
16
Lattice="7.371 -4.179 0.000 7.371 4.179 0.000 -4.860 0.000 8.052" Properties=species:S:1:pos:R:3 pbc="T T T"
Cs 0.000 0.000 0.000
Cs 3.685 2.090 0.000
Cs 3.685 -2.090 0.000
Cs 7.371 0.000 0.000
Th -2.430 0.000 4.026
Th 1.255 2.090 4.026
Th 1.255 -2.090 4.026
Pd 4.941 0.000 4.026
S 3.658 2.159 5.461
S 0.018 0.000 5.556
S 2.266 0.000 2.504
S 6.223 2.159 2.591
S 3.658 -2.159 5.461
S 7.615 0.000 5.548
S 9.863 0.000 2.496
S 6.223 -2.159 2.591
```

=====

Cs3Th3PdS8 | PBE-GGA | optimized geometry

Calculated total energy, eV/f.u.: -85.63

The structure in extended XYZ format:
```
15
Lattice="7.044 -4.267 0.000 7.044 4.267 0.000 -4.522 0.000 8.125" Properties=species:S:1:pos:R:3 pbc="T T T"
Cs 0.000 0.000 0.000
Cs 3.522 2.134 0.000
Cs 3.522 -2.134 0.000
Th 1.261 2.134 4.063
Th 1.261 -2.134 4.063
Th 4.783 0.000 4.063
Pd -2.261 0.000 4.063
S -0.110 0.000 5.320
S 3.502 1.905 5.615
S 2.396 0.000 2.525
S 6.064 1.905 2.510
S 3.502 -1.905 5.615
S 7.169 0.000 5.600
S 6.064 -1.905 2.510
S 9.675 0.000 2.805
```

=====

CsTh4Pd3S12 | PBE-GGA | optimized geometry

Calculated total energy, eV/f.u.: -119.58

The structure in extended XYZ format:
```
20
Lattice="-5.050 5.050 5.050 5.050 -5.050 5.050 5.050 5.050 -5.050" Properties=species:S:1:pos:R:3 pbc="T T T"
Cs 0.000 0.000 0.000
Th 2.525 2.525 -2.525
Th 2.525 -2.525 2.525
Th -2.525 2.525 2.525
Th 2.525 2.525 2.525
Pd 5.050 0.000 0.000
Pd 0.000 5.050 0.000
Pd 0.000 0.000 5.050
S 3.302 0.000 1.615
S 6.798 0.000 1.615
S 5.050 3.435 -1.748
S 1.615 3.302 0.000
S 3.435 -1.748 5.050
S 0.000 1.615 3.302
S 5.050 3.435 1.748
S 1.615 6.798 0.000
S 3.435 1.748 5.050
S 0.000 1.615 6.798
S -1.748 5.050 3.435
S 1.748 5.050 3.435
```

=====

Cs2UPdS6 | PBE-GGA | optimized geometry

Calculated total energy, eV/f.u.: -50.85

The structure in extended XYZ format:
```
10
Lattice="-3.444 3.444 6.301 3.444 -3.444 6.301 3.444 3.444 -6.301" Properties=species:S:1:pos:R:3 pbc="T T T"
Cs 3.444 0.000 3.151
Cs 0.000 3.444 3.151
U 0.000 0.000 0.000
Pd 0.000 0.000 6.301
S 0.000 0.000 2.464
S 1.807 1.807 0.000
S 1.637 -1.637 6.301
S -1.637 1.637 6.301
S 1.637 1.637 6.301
S 0.000 0.000 10.139
```

=====

Cs3UPd2S6 | PBE-GGA | optimized geometry

Calculated total energy, eV/f.u.: -59.28

The structure in extended XYZ format:
```
12
Lattice="3.168 -7.876 0.000 3.168 7.876 0.000 -2.562 0.000 7.755" Properties=species:S:1:pos:R:3 pbc="T T T"
Cs 0.000 0.000 0.000
Cs 3.168 2.665 0.000
Cs 3.168 -2.665 0.000
U 1.888 0.000 3.877
Pd 1.888 6.416 3.877
Pd 1.888 -6.416 3.877
S 0.676 1.899 2.584
S -0.092 0.000 5.529
S 0.676 -1.899 2.584
S 3.099 1.899 5.170
S 3.868 0.000 2.226
S 3.099 -1.899 5.170
```

=====

Cs2UPd3S6 | PBE-GGA | optimized geometry

Calculated total energy, eV/f.u.: -64.88

The structure in extended XYZ format:
```
24
Lattice="0.000 7.829 8.522 4.911 0.000 8.522 4.911 7.829 0.000" Properties=species:S:1:pos:R:3 pbc="T T T"
Cs 4.911 3.028 8.522
Cs 2.456 3.915 4.261
Cs 7.367 11.744 12.784
Cs 4.911 12.630 8.522
U 4.911 7.829 5.678
U 4.911 7.829 11.366
Pd 8.220 7.829 5.790
Pd 8.220 7.829 11.254
Pd 6.619 7.829 8.522
Pd 3.203 7.829 8.522
Pd 1.602 7.829 5.790
Pd 1.602 7.829 11.254
S 4.911 6.234 3.499
S 6.750 6.214 6.780
S 4.911 9.424 3.499
S 6.750 6.214 10.265
S 6.750 9.444 6.780
S 3.072 6.214 6.780
S 6.750 9.444 10.265
S 3.072 6.214 10.265
S 3.072 9.444 6.780
S 4.911 6.234 13.546
S 3.072 9.444 10.265
S 4.911 9.424 13.546
```

=====

CsUPdS4 | PBE-GGA | optimized geometry

Calculated total energy, eV/f.u.: -40.61

The structure in extended XYZ format:
```
14
Lattice="6.481 0.000 0.000 0.000 6.065 0.000 -2.940 0.000 9.092" Properties=species:S:1:pos:R:3 pbc="T T T"
Cs 1.415 1.516 0.408
Cs 2.126 4.549 8.684
U -0.006 1.516 5.008
U 3.548 4.549 4.085
Pd 0.393 4.549 3.272
Pd 3.149 1.516 5.820
S -1.761 3.189 6.212
S -1.761 5.908 6.212
S 2.376 4.549 1.847
S 1.344 4.549 5.412
S 2.198 1.516 3.681
S 1.166 1.516 7.246
S 5.303 0.157 2.881
S 5.303 2.876 2.881
```

=====

CsUPdS2 | PBE-GGA | optimized geometry

Calculated total energy, eV/f.u.: -30.35

The structure in extended XYZ format:
```
10
Lattice="3.241 -8.078 0.000 3.241 8.078 0.000 0.000 0.000 5.418" Properties=species:S:1:pos:R:3 pbc="T T T"
Cs 3.241 4.039 4.186
Cs 3.241 -4.039 1.232
U 1.621 0.000 2.709
U 4.862 0.000 2.709
Pd 0.000 0.000 0.000
Pd 3.241 0.000 0.000
S 3.241 6.238 1.505
S 3.241 1.840 1.505
S 3.241 -1.840 3.913
S 3.241 -6.238 3.913
```

=====

Cs2UPd2S4 | PBE-GGA | optimized geometry

Calculated total energy, eV/f.u.: -49.21

The structure in extended XYZ format:
```
9
Lattice="7.348 -2.017 0.000 7.348 2.017 0.000 -2.519 0.000 7.801" Properties=species:S:1:pos:R:3 pbc="T T T"
Cs 1.863 0.000 0.564
Cs 10.315 0.000 7.237
U -1.260 0.000 3.900
Pd 3.436 0.000 3.935
Pd 8.741 0.000 3.866
S 1.048 0.000 5.143
S 5.338 0.000 5.554
S 6.839 0.000 2.247
S 11.130 0.000 2.658
```

=====

CsU4Pd3S12 | PBE-GGA | optimized geometry

Calculated total energy, eV/f.u.: -129.63

The structure in extended XYZ format:
```
20
Lattice="-4.901 4.901 4.901 4.901 -4.901 4.901 4.901 4.901 -4.901" Properties=species:S:1:pos:R:3 pbc="T T T"
Cs 0.000 0.000 0.000
U 2.450 2.450 -2.450
U 2.450 -2.450 2.450
U -2.450 2.450 2.450
U 2.450 2.450 2.450
Pd 4.901 0.000 0.000
Pd 0.000 4.901 0.000
Pd 0.000 0.000 4.901
S 4.901 -1.763 3.255
S 3.137 1.645 0.000
S 6.664 1.645 0.000
S 3.255 4.901 -1.763
S 1.645 0.000 3.137
S 0.000 3.137 1.645
S 4.901 1.763 3.255
S 3.255 4.901 1.763
S 1.645 0.000 6.664
S -1.763 3.255 4.901
S 1.763 3.255 4.901
S 0.000 6.664 1.645
```

=====

Cs2UPd2S6 | PBE-GGA | optimized geometry

Calculated total energy, eV/f.u.: -56.76

The structure in extended XYZ format:
```
11
Lattice="6.413 -3.708 0.000 6.413 3.708 0.000 -4.287 0.000 6.747" Properties=species:S:1:pos:R:3 pbc="T T T"
Cs 2.138 0.000 1.372
Cs 6.401 0.000 5.375
U -2.143 0.000 3.374
Pd 2.130 0.000 5.164
Pd 6.409 0.000 1.583
S 3.250 1.959 4.909
S -0.127 0.000 4.923
S 5.289 1.959 1.838
S 3.250 -1.959 4.909
S 8.666 0.000 1.824
S 5.289 -1.959 1.838
```

=====

CsU3Pd4S12 | PBE-GGA | optimized geometry

Calculated total energy, eV/f.u.: -118.11

The structure in extended XYZ format:
```
20
Lattice="7.049 4.070 3.229 -7.049 4.070 3.229 0.000 -8.140 3.229" Properties=species:S:1:pos:R:3 pbc="T T T"
Cs 0.000 0.000 0.000
U -3.975 -1.255 3.229
U 3.075 -2.815 3.229
U 0.900 4.070 3.229
Pd -3.099 -5.368 4.844
Pd 0.000 0.000 4.844
Pd -3.099 5.368 4.844
Pd 6.199 0.000 4.844
S -3.914 -3.265 4.645
S -5.605 0.000 4.844
S -0.871 -5.022 5.042
S -2.309 0.000 4.844
S -3.914 3.265 5.042
S 2.802 -4.854 4.844
S 1.155 -2.000 4.844
S -0.871 5.022 4.645
S 1.155 2.000 4.844
S 4.784 -1.757 4.645
S 2.802 4.854 4.844
S 4.784 1.757 5.042
```

=====

Number 1: formation energy without anion corrections -423 meV per atom. Number 2: formation energy without anion corrections -446 meV per atom. Number 3: formation energy without anion corrections 1625 meV per atom. Number 4: formation energy without anion corrections -541 meV per atom. Number 5: formation energy without anion corrections -56 meV per atom. Number 6: formation energy without anion corrections -345 meV per atom. Number 7: formation energy without anion corrections -534 meV per atom. Number 8: formation energy without anion corrections -1467 meV per atom. Number 9: formation energy without anion corrections -1507 meV per atom. Number 10: formation energy without anion corrections -1197 meV per atom. Number 11: formation energy without anion corrections -790 meV per atom. Number 12: formation energy without anion corrections -857 meV per atom. Number 13: formation energy without anion corrections -962 meV per atom. Number 14: formation energy without anion corrections -967 meV per atom. Number 15: formation energy without anion corrections -952 meV per atom. Number 16: formation energy without anion corrections -1036 meV per atom. Number 17: formation energy without anion corrections -926 meV per atom. Number 18: formation energy without anion corrections -783 meV per atom. Number 19: formation energy without anion corrections -654 meV per atom.